MgZnHRu2 after structural relaxation, computed with GGA-PBE.

Structure (extended XYZ):
```
5
Lattice="3.891 0.000 0.000 0.000 3.891 0.000 0.000 0.000 4.055" Properties=species:S:1:pos:R:3 pbc="T T T"
Mg 0.000 0.000 0.000
Zn 1.946 1.946 0.000
H 0.000 0.000 2.027
Ru 0.000 1.946 2.027
Ru 1.946 0.000 2.027
```

Output
Calculated volume in A^3/atom: 12.3
Calculated total energy in eV/atom: -4.8836

---

LiAcP2Rh5 after structural relaxation, computed with GGA-PBE.

Structure (extended XYZ):
```
9
Lattice="4.215 0.000 0.000 0.000 4.215 0.000 0.000 0.000 8.936" Properties=species:S:1:pos:R:3 pbc="T T T"
Li 0.000 0.000 0.000
Ac 0.000 0.000 4.468
P 2.108 2.108 2.193
P 2.108 2.108 6.743
Rh 0.000 2.108 1.368
Rh 0.000 2.108 7.568
Rh 2.108 0.000 1.368
Rh 2.108 0.000 7.568
Rh 2.108 2.108 4.468
```

Output
Formation enthalpy at 0 K in meV/atom: -575
Calculated volume in A^3/atom: 17.6

---

Pu2SnBi after structural relaxation, computed with GGA-PBE.

Structure (extended XYZ):
```
4
Lattice="0.000 3.820 3.820 3.820 0.000 3.820 3.820 3.820 0.000" Properties=species:S:1:pos:R:3 pbc="T T T"
Pu 1.910 1.910 1.910
Pu 5.731 5.731 5.731
Sn 0.000 0.000 0.000
Bi 3.820 3.820 3.820
```

Output
Formation enthalpy at 0 K in meV/atom: -262
Calculated volume in A^3/atom: 27.9
Distance to the lowest polymorph of the same formula in meV/atom: 99

---

LiCePd6 after structural relaxation, computed with GGA-PBE.

Structure (extended XYZ):
```
8
Lattice="4.144 0.000 0.000 0.000 4.144 0.000 0.000 0.000 7.668" Properties=species:S:1:pos:R:3 pbc="T T T"
Li 0.000 0.000 0.000
Ce 0.000 0.000 3.834
Pd 0.000 2.072 1.832
Pd 0.000 2.072 5.836
Pd 2.072 0.000 1.832
Pd 2.072 0.000 5.836
Pd 2.072 2.072 0.000
Pd 2.072 2.072 3.834
```

Output
Formation enthalpy at 0 K in meV/atom: -554
Calculated volume in A^3/atom: 16.5

---

KRb2NiBr6 after structural relaxation, computed with GGA-PBE.

Structure (extended XYZ):
```
20
Lattice="7.715 0.000 0.000 0.000 8.308 0.000 -7.711 0.000 11.043" Properties=species:S:1:pos:R:3 pbc="T T T"
K 0.000 0.000 0.000
K -3.855 4.154 5.521
Rb -3.665 0.615 8.358
Rb 0.191 3.539 2.836
Rb -0.186 4.769 8.207
Rb 3.669 7.693 2.685
Ni 0.002 0.000 5.521
Ni 3.858 4.154 0.000
Br -0.602 0.125 3.196
Br -4.457 4.029 8.718
Br 1.859 5.458 0.410
Br -1.997 7.005 5.932
Br 2.503 1.872 0.493
Br -1.352 2.282 6.015
Br 1.357 6.026 5.028
Br -2.499 6.436 10.550
Br 2.001 1.304 5.111
Br -1.854 2.851 10.633
Br 4.462 4.279 2.325
Br 0.607 8.183 7.846
```

Output
Calculated volume in A^3/atom: 35.4
Distance to the lowest polymorph of the same formula in meV/atom: 0

---

YAlBi after structural relaxation, computed with GGA-PBE.

Structure (extended XYZ):
```
6
Lattice="2.292 -7.982 0.000 2.292 7.982 0.000 0.000 0.000 4.405" Properties=species:S:1:pos:R:3 pbc="T T T"
Y 2.292 6.496 3.304
Y 2.292 -6.496 1.101
Al 2.292 0.737 3.304
Al 2.292 -0.737 1.101
Bi 2.292 3.975 1.101
Bi 2.292 -3.975 3.304
```

Output
Formation enthalpy at 0 K in meV/atom: -389
Calculated volume in A^3/atom: 26.9

---

Dy8Zn2Fe after structural relaxation, computed with GGA-PBE.

Structure (extended XYZ):
```
11
Lattice="-2.466 4.162 6.986 2.466 -4.162 6.986 2.466 4.162 -6.986" Properties=species:S:1:pos:R:3 pbc="T T T"
Dy 2.466 2.306 -2.206
Dy 0.000 0.000 1.749
Dy 0.000 2.711 0.000
Dy 2.466 2.306 2.206
Dy 0.000 1.856 4.781
Dy 0.000 5.613 0.000
Dy 0.000 0.000 12.223
Dy 0.000 1.856 9.192
Zn 2.466 0.000 4.236
Zn 0.000 4.162 2.750
Fe 2.466 0.000 0.000
```

Output
Formation enthalpy at 0 K in meV/atom: 37
Calculated volume in A^3/atom: 26.1
Distance to the lowest polymorph of the same formula in meV/atom: 122

---

SrTiAs2O8 after structural relaxation, computed with GGA-PBE.

Structure (extended XYZ):
```
12
Lattice="5.228 0.000 0.000 -2.614 4.527 0.000 0.000 0.000 7.253" Properties=species:S:1:pos:R:3 pbc="T T T"
Sr 0.000 0.000 0.000
Ti 0.000 0.000 3.626
As 0.000 3.018 5.379
As 2.614 1.509 1.874
O -0.497 1.456 4.836
O -1.105 4.230 4.836
O 1.012 1.158 2.417
O 0.000 3.018 7.063
O 2.614 1.509 0.190
O 1.602 3.369 4.836
O 3.718 0.297 2.417
O 3.111 3.072 2.417
```

Output
Calculated volume in A^3/atom: 14.3
Calculated total energy in eV/atom: -6.8890

---

Repeat the seventh record exactly.
Dy8Zn2Fe after structural relaxation, computed with GGA-PBE.

Structure (extended XYZ):
```
11
Lattice="-2.466 4.162 6.986 2.466 -4.162 6.986 2.466 4.162 -6.986" Properties=species:S:1:pos:R:3 pbc="T T T"
Dy 2.466 2.306 -2.206
Dy 0.000 0.000 1.749
Dy 0.000 2.711 0.000
Dy 2.466 2.306 2.206
Dy 0.000 1.856 4.781
Dy 0.000 5.613 0.000
Dy 0.000 0.000 12.223
Dy 0.000 1.856 9.192
Zn 2.466 0.000 4.236
Zn 0.000 4.162 2.750
Fe 2.466 0.000 0.000
```

Output
Formation enthalpy at 0 K in meV/atom: 37
Calculated volume in A^3/atom: 26.1
Distance to the lowest polymorph of the same formula in meV/atom: 122

---

> Which of these has the lowest calculated volume?

MgZnHRu2

---

Please write out number 4 again, unchanged.
LiCePd6 after structural relaxation, computed with GGA-PBE.

Structure (extended XYZ):
```
8
Lattice="4.144 0.000 0.000 0.000 4.144 0.000 0.000 0.000 7.668" Properties=species:S:1:pos:R:3 pbc="T T T"
Li 0.000 0.000 0.000
Ce 0.000 0.000 3.834
Pd 0.000 2.072 1.832
Pd 0.000 2.072 5.836
Pd 2.072 0.000 1.832
Pd 2.072 0.000 5.836
Pd 2.072 2.072 0.000
Pd 2.072 2.072 3.834
```

Output
Formation enthalpy at 0 K in meV/atom: -554
Calculated volume in A^3/atom: 16.5